No. 1
VASP calculation (PBE) on a relaxed AlTc2Ni2 crystal.

a = 5.907 Å, b = 5.907 Å, c = 3.807 Å
α = 90.00°, β = 90.00°, γ = 90.00°
Atoms (fractional coordinates):
Ni (0.637, 0.137, 0.000)
Ni (0.363, 0.863, 0.000)
Ni (0.137, 0.363, 0.000)
Ni (0.863, 0.637, 0.000)
Al (0.500, 0.500, 0.000)
Al (0.000, 0.000, 0.000)
Tc (0.160, 0.660, 0.500)
Tc (0.340, 0.160, 0.500)
Tc (0.660, 0.840, 0.500)
Tc (0.840, 0.340, 0.500)

Summary:
Energy of formation from the pure elements (eV/atom): 0.026

No. 2
VASP calculation (PBE) on a relaxed Al2TcNi2 crystal.

a = 7.014 Å, b = 7.014 Å, c = 2.599 Å
α = 90.00°, β = 90.00°, γ = 90.00°
Atoms (fractional coordinates):
Ni (0.625, 0.125, 0.000)
Ni (0.875, 0.625, 0.000)
Ni (0.375, 0.875, 0.000)
Ni (0.125, 0.375, 0.000)
Al (0.828, 0.328, 0.500)
Al (0.328, 0.172, 0.500)
Al (0.672, 0.828, 0.500)
Al (0.172, 0.672, 0.500)
Tc (0.500, 0.500, 0.000)
Tc (0.000, 0.000, 0.000)

Summary:
Energy of formation from the pure elements (eV/atom): -0.343
Excess energy over the best structure of this formula in the dataset (eV/f.u.): 0.11